DFT (GGA-PBE) results for a geometry-optimized PrSmPu structure.

Output
ρ, Mg/m³: 9.88
Crystal system: triclinic
ΔE to the lowest computed polymorph, meV/atom: 109
Formation enthalpy at 0 K, meV per atom: 243

abc: 3.5393 6.2379 8.4362
angles: 74.99 89.46 89.93
Last column: nearest neighbours and their distance in Å.
Space group P-1 (No. 2)
One atom of each set of equivalent atoms:
Pr1 0.2465 0.3512 0.2010  4 Pu 3.24-3.52, 1 Sm 3.41, 2 Pr 3.54
Sm1 0.2539 0.2044 0.6199  3 Pu 3.28-3.60, 1 Pr 3.41, 2 Sm 3.54
Pu1 0.2493 0.8833 0.0414  2 Pu 2.28

DFT (GGA-PBE) results for a geometry-optimized Pr4Sm5Pu structure.

Output
ρ, Mg/m³: 7.38
Crystal system: orthorhombic
Formation enthalpy at 0 K, meV per atom: 228

abc: 10.4881 11.5150 5.8085
angles: 90.00 90.00 90.00
Last column: nearest neighbours and their distance in Å.
Space group Pmmn (No. 59, origin choice 2)
One atom of each set of equivalent atoms:
Pr1 0.0372 0.2500 0.2494  8 Sm 3.56-3.78, 2 Pr 3.66
Pr2 0.2500 0.5700 0.7500  7 Sm 3.53-3.68, 2 Pu 3.57, 2 Pr 3.66
Sm1 0.0594 0.5589 0.2502  1 Pu 2.97
Sm2 0.2500 0.2500 0.7490  6 Pr 3.66-3.68, 4 Sm 3.92
Pu1 0.2500 0.7500 0.2495  4 Sm 2.97

DFT (GGA-PBE) results for a geometry-optimized Pr3Sm6Pu structure.

Output
ρ, Mg/m³: 7.60
Crystal system: trigonal
Formation enthalpy at 0 K, meV per atom: 247

abc: 9.9894 9.9894 11.9033
angles: 90.00 90.00 120.00
Last column: nearest neighbours and their distance in Å.
Space group R3 (No. 146, hexagonal axes)
One atom of each set of equivalent atoms:
Pr1 0.0000 0.0000 0.0000  1 Pu 2.87, 1 Pr 3.08
Pr2 0.0000 0.0000 0.2591  2 Pr 3.08, 3 Sm 3.28
Pr3 0.0000 0.0000 0.5182  1 Pu 2.87, 1 Pr 3.08
Sm1 0.0000 0.3161 0.7587  1 Pu 3.16
Sm2 0.9999 0.6713 0.2585  3 Pr 3.28-3.47
Pu1 0.0000 0.0000 0.7591  2 Pr 2.87, 3 Sm 3.16

DFT (GGA-PBE) results for a geometry-optimized PrSmPu structure.

Output
ρ, Mg/m³: 9.19
Crystal system: hexagonal
ΔE to the lowest computed polymorph, meV/atom: 112
Formation enthalpy at 0 K, meV per atom: 245

abc: 5.7648 5.7648 3.3602
angles: 90.00 90.00 120.00
Last column: nearest neighbours and their distance in Å.
Space group P-6m2 (No. 187)
One atom of each set of equivalent atoms:
Pr1 0.0000 0.0000 0.0000  3 Sm 3.33, 2 Pr 3.36
Sm1 0.3333 0.6667 0.0000  3 Pr 3.33, 2 Sm 3.36
Pu1 0.6667 0.3333 0.5000  2 Pu 3.36, 6 Pr 3.73, 6 Sm 3.73